Compound: KAc2PtO6
Source: Alexandria via LeMat-Bulk
Functional: PBE
Structure: relaxed

The total magnetic moment is 1.035 μB per formula unit. The value obtained for the energy relative to the elements, uncorrected is -2.08 eV per atom. The space group is P2_1/c, No. 14.

abc: 5.853 6.432 8.546
angles: 90.00 88.60 90.00
Each line ends with the local moment (μB).
Element x y z (fractional)
K 0.500 0.000 0.000  0.00
K 0.000 0.500 0.500  0.00
Ac 0.018 0.939 0.261  0.01
Ac 0.518 0.561 0.761  0.01
Ac 0.982 0.061 0.739  0.01
Ac 0.482 0.439 0.239  0.01
Pt 0.500 0.000 0.500  0.41
Pt 0.000 0.500 0.000  0.41
O 0.291 0.657 0.040  0.09
O 0.791 0.843 0.540  0.09
O 0.709 0.343 0.960  0.09
O 0.209 0.157 0.460  0.09
O 0.353 0.740 0.411  0.09
O 0.853 0.760 0.911  0.09
O 0.647 0.260 0.589  0.09
O 0.147 0.240 0.089  0.09
O 0.874 0.579 0.215  0.07
O 0.374 0.921 0.715  0.07
O 0.126 0.421 0.785  0.07
O 0.626 0.079 0.285  0.07


Compound: ReBi3C
Source: Alexandria via LeMat-Bulk
Functional: PBE
Structure: relaxed

The total magnetic moment is 0.763 μB per formula unit. The space group is Pm-3m, No. 221. The polymorph energy (0 for the lowest one) is 293 meV per atom. The energy relative to the elements comes out at 9.788 eV per formula unit.

abc: 5.304 5.304 5.304
angles: 90.00 90.00 90.00
Each line ends with the local moment (μB).
Element x y z (fractional)
Re 0.000 0.000 0.000  -0.19
C 0.500 0.500 0.500  0.76
Bi 0.000 0.500 0.000  -0.13
Bi 0.000 0.000 0.500  -0.27
Bi 0.500 0.000 0.000  -0.05


Compound: SrIn4Te
Source: Alexandria via LeMat-Bulk
Functional: PBE
Structure: relaxed

The total magnetic moment is 0.000 μB per formula unit. The value obtained for the energy relative to the elements, uncorrected is -0.21 eV per atom. The space group is F-43m, No. 216.

abc: 6.339 6.339 6.339
angles: 60.00 60.00 60.00
Element x y z (fractional)
Sr 0.750 0.750 0.750
In 0.875 0.375 0.375
In 0.375 0.375 0.875
In 0.375 0.875 0.375
In 0.375 0.375 0.375
Te 0.000 0.000 0.000


Compound: GdLuZnGe
Source: Alexandria via LeMat-Bulk
Functional: PBE
Structure: relaxed

The total magnetic moment is 7.183 μB per formula unit. The space group is F-43m, No. 216. The energy relative to the elements comes out at -2.036 eV per formula unit.

abc: 4.996 4.996 4.996
angles: 60.00 60.00 60.00
Each line ends with the local moment (μB).
Element x y z (fractional)
Gd 0.500 0.500 0.500  7.03
Ge 0.250 0.250 0.250  -0.03
Lu 0.000 0.000 0.000  0.06
Zn 0.750 0.750 0.750  -0.01


Compound: CuSi4Ru
Source: Alexandria via LeMat-Bulk
Functional: PBE
Structure: relaxed

The total magnetic moment is 0.000 μB per formula unit. The value obtained for the energy relative to the elements, uncorrected is 0.46 eV per atom. The space group is F-43m, No. 216.

abc: 4.893 4.893 4.893
angles: 60.00 60.00 60.00
Element x y z (fractional)
Cu 0.750 0.750 0.750
Si 0.876 0.375 0.375
Si 0.375 0.375 0.876
Si 0.375 0.876 0.375
Si 0.375 0.375 0.375
Ru 0.000 0.000 0.000


Compound: SmHo2Tl3S6
Source: Alexandria via LeMat-Bulk
Functional: PBE
Structure: relaxed

The total magnetic moment is 0.000 μB per formula unit. The value obtained for the energy relative to the elements, uncorrected is -1.48 eV per atom. The space group is C2/m, No. 12.

abc: 7.016 7.016 7.874
angles: 98.54 98.54 119.99
Element x y z (fractional)
Sm 0.000 0.000 0.000
Ho 0.333 0.667 0.000
Ho 0.667 0.333 0.000
Tl 0.166 0.834 0.500
Tl 0.834 0.166 0.500
Tl 0.500 0.500 0.500
S 0.934 0.593 0.801
S 0.726 0.726 0.198
S 0.066 0.407 0.199
S 0.593 0.934 0.801
S 0.274 0.274 0.802
S 0.407 0.066 0.199


Compound: CsOF3
Source: Alexandria via LeMat-Bulk
Functional: PBE
Structure: relaxed

The total magnetic moment is 1.000 μB per formula unit. The value obtained for the energy relative to the elements, uncorrected is -0.94 eV per atom. The space group is C2/m, No. 12. The polymorph energy (0 for the lowest one) is 280 meV per atom.

abc: 17.584 7.895 7.895
angles: 147.60 154.40 25.60
Each line ends with the local moment (μB).
Element x y z (fractional)
Cs 0.809 0.841 0.159  0.00
Cs 0.191 0.159 0.841  0.00
O 0.724 0.138 0.862  0.55
O 0.276 0.862 0.138  0.55
F 0.911 0.048 0.952  -0.06
F 0.089 0.952 0.048  -0.06
F 0.743 0.552 0.448  0.32
F 0.257 0.448 0.552  0.32
F 0.493 0.596 0.404  0.07
F 0.507 0.404 0.596  0.07


Compound: AcPm3Ho
Source: Alexandria via LeMat-Bulk
Functional: PBE
Structure: relaxed

The total magnetic moment is 0.000 μB per formula unit. The space group is R-3, No. 148. The polymorph energy (0 for the lowest one) is 226 meV per atom. The energy relative to the elements comes out at 1.879 eV per formula unit.

abc: 6.285 6.285 12.111
angles: 74.96 74.96 60.00
Element x y z (fractional)
Ac 0.334 0.334 0.999
Ac 0.666 0.666 0.001
Pm 0.093 0.418 0.738
Pm 0.751 0.093 0.738
Pm 0.582 0.249 0.262
Pm 0.249 0.907 0.262
Pm 0.907 0.582 0.262
Pm 0.418 0.751 0.738
Ho 0.166 0.166 0.502
Ho 0.834 0.834 0.498


Compound: OsPt2Pb
Source: Alexandria via LeMat-Bulk
Functional: PBE
Structure: relaxed

The total magnetic moment is 0.000 μB per formula unit. The space group is Immm, No. 71. The energy relative to the elements comes out at 2.056 eV per formula unit.

abc: 5.720 5.720 5.720
angles: 150.09 130.54 58.88
Element x y z (fractional)
Os 0.750 0.250 0.500
Pb 0.250 0.750 0.500
Pt 0.985 0.985 0.000
Pt 0.515 0.515 0.000


Compound: Cd2SiPbCl
Source: Alexandria via LeMat-Bulk
Functional: PBE
Structure: relaxed

The total magnetic moment is 0.000 μB per formula unit. The value obtained for the energy relative to the elements, uncorrected is 0.10 eV per atom. The space group is P4/mmm, No. 123. The polymorph energy (0 for the lowest one) is 0 meV per atom.

abc: 5.054 5.054 5.979
angles: 90.00 90.00 90.00
Element x y z (fractional)
Pb 0.000 0.000 0.500
Si 0.000 0.000 0.000
Cl 0.500 0.500 0.500
Cd 0.000 0.500 0.000
Cd 0.500 0.000 0.000


Compound: Pa2SiAu
Source: Alexandria via LeMat-Bulk
Functional: PBE
Structure: relaxed

The total magnetic moment is 0.000 μB per formula unit. The value obtained for the energy relative to the elements, uncorrected is -0.33 eV per atom. The space group is P2_1/m, No. 11. The polymorph energy (0 for the lowest one) is 0 meV per atom.

abc: 3.942 5.916 8.327
angles: 110.17 90.00 90.00
Element x y z (fractional)
Pa 0.750 0.188 0.427
Pa 0.250 0.812 0.573
Pa 0.250 0.783 0.067
Pa 0.750 0.217 0.933
Si 0.750 0.666 0.289
Si 0.250 0.334 0.711
Au 0.250 0.353 0.223
Au 0.750 0.647 0.777


Compound: MoSe3
Source: Alexandria via LeMat-Bulk
Functional: PBE
Structure: relaxed

The total magnetic moment is 0.000 μB per formula unit. The value obtained for the energy relative to the elements, uncorrected is 0.47 eV per atom. The space group is I4/mmm, No. 139.

abc: 4.649 4.649 4.649
angles: 120.29 120.29 89.50
Element x y z (fractional)
Mo 0.000 0.000 0.000
Se 0.250 0.750 0.500
Se 0.500 0.500 0.000
Se 0.750 0.250 0.500


Compound: BaTaTl2Pd
Source: Alexandria via LeMat-Bulk
Functional: PBE
Structure: relaxed

The total magnetic moment is 2.572 μB per formula unit. The space group is P4/mmm, No. 123. The energy relative to the elements comes out at 2.523 eV per formula unit.

abc: 5.361 5.222 5.361
angles: 90.00 90.00 90.00
Each line ends with the local moment (μB).
Element x y z (fractional)
Tl 0.000 0.000 0.500  -0.01
Tl 0.500 0.000 0.000  0.00
Ba 0.500 0.500 0.500  0.08
Pd 0.000 0.000 0.000  0.10
Ta 0.000 0.500 0.000  1.50


Compound: K2Cd7Pd2
Source: Alexandria via LeMat-Bulk
Functional: PBE
Structure: relaxed

The total magnetic moment is 0.000 μB per formula unit. The space group is C2/m, No. 12. The energy relative to the elements comes out at -1.085 eV per formula unit.

abc: 4.857 11.008 11.008
angles: 51.94 131.58 131.58
Element x y z (fractional)
K 0.500 0.694 0.306
K 0.500 0.306 0.694
Cd 0.313 0.442 0.100
Cd 0.687 0.900 0.558
Cd 0.687 0.558 0.900
Cd 0.313 0.100 0.442
Cd 0.336 0.779 0.779
Cd 0.000 0.000 0.000
Cd 0.664 0.221 0.221
Pd 0.812 0.104 0.104
Pd 0.188 0.896 0.896


Compound: LaTeP2
Source: Alexandria via LeMat-Bulk
Functional: PBE
Structure: relaxed

The total magnetic moment is 0.000 μB per formula unit. The value obtained for the energy relative to the elements, uncorrected is -0.51 eV per atom. The space group is P4/mmm, No. 123.

abc: 4.195 4.195 6.205
angles: 90.00 90.00 90.00
Element x y z (fractional)
La 0.500 0.500 0.750
P 0.000 0.000 0.921
P 0.000 0.000 0.579
Te 0.500 0.500 0.250


Compound: YMgSe2N
Source: Alexandria via LeMat-Bulk
Functional: PBE
Structure: relaxed

The total magnetic moment is 2.014 μB per formula unit. The value obtained for the energy relative to the elements, uncorrected is -0.14 eV per atom. The space group is P4/mmm, No. 123. The polymorph energy (0 for the lowest one) is 215 meV per atom.

abc: 5.521 5.521 4.368
angles: 90.00 90.00 90.00
Each line ends with the local moment (μB).
Element x y z (fractional)
Y 0.000 0.000 0.000  0.03
Mg 0.500 0.500 0.500  0.00
Se 0.000 0.500 0.000  0.15
Se 0.500 0.000 0.000  0.15
N 0.000 0.000 0.500  1.07


Compound: Cs2KSb
Source: Alexandria via LeMat-Bulk
Functional: PBE
Structure: relaxed

The total magnetic moment is 0.000 μB per formula unit. The value obtained for the energy relative to the elements, uncorrected is -0.34 eV per atom. The space group is Cm, No. 8.

abc: 6.319 7.552 10.751
angles: 72.86 72.91 65.27
Element x y z (fractional)
Cs 0.192 0.228 0.389
Cs 0.818 0.839 0.526
Cs 0.446 0.448 0.660
Cs 0.817 0.345 0.021
K 0.065 0.747 0.122
K 0.567 0.935 0.930
Sb 0.121 0.992 0.766
Sb 0.517 0.681 0.285


Compound: LaZn3Au10
Source: Alexandria via LeMat-Bulk
Functional: PBE
Structure: relaxed

The total magnetic moment is 0.000 μB per formula unit. The space group is Fm-3m, No. 225. The energy relative to the elements comes out at -2.641 eV per formula unit.

abc: 9.238 9.238 9.238
angles: 60.00 60.00 60.00
Element x y z (fractional)
La 0.250 0.250 0.250
La 0.750 0.750 0.750
Zn 0.736 0.736 0.264
Zn 0.736 0.264 0.736
Zn 0.264 0.736 0.736
Zn 0.264 0.264 0.736
Zn 0.736 0.264 0.264
Zn 0.264 0.736 0.264
Au 0.000 0.000 0.348
Au 0.000 0.348 0.000
Au 0.348 0.000 0.000
Au 0.652 0.348 0.000
Au 0.386 0.386 0.386
Au 0.157 0.614 0.614
Au 0.386 0.843 0.386
Au 0.652 0.000 0.348
Au 0.386 0.386 0.843
Au 0.843 0.386 0.386
Au 0.614 0.614 0.157
Au 0.000 0.000 0.652
Au 0.348 0.652 0.000
Au 0.000 0.652 0.348
Au 0.000 0.348 0.652
Au 0.652 0.000 0.000
Au 0.614 0.614 0.614
Au 0.000 0.652 0.000
Au 0.614 0.157 0.614
Au 0.348 0.000 0.652


Compound: RbEu3Cu
Source: Alexandria via LeMat-Bulk
Functional: PBE
Structure: relaxed

The total magnetic moment is 22.177 μB per formula unit. The space group is Pm-3m, No. 221. The energy relative to the elements comes out at 0.571 eV per formula unit.

abc: 6.055 6.055 6.055
angles: 90.00 90.00 90.00
Each line ends with the local moment (μB).
Element x y z (fractional)
Eu 0.000 0.500 0.000  6.97
Eu 0.000 0.000 0.500  6.97
Eu 0.500 0.000 0.000  6.97
Cu 0.000 0.000 0.000  -0.03
Rb 0.500 0.500 0.500  0.02


Compound: BaLaNi2As2
Source: Alexandria via LeMat-Bulk
Functional: PBE
Structure: relaxed

The total magnetic moment is 0.000 μB per formula unit. The space group is P-3m1, No. 164. The energy relative to the elements comes out at -5.451 eV per formula unit.

abc: 4.181 4.181 8.961
angles: 90.00 90.00 120.00
Element x y z (fractional)
Ba 0.000 0.000 0.000
La 0.000 0.000 0.500
Ni 0.333 0.667 0.727
Ni 0.667 0.333 0.273
As 0.333 0.667 0.270
As 0.667 0.333 0.730


Compound: Sm2Mg12Hg7
Source: Alexandria via LeMat-Bulk
Functional: PBE
Structure: relaxed

The total magnetic moment is 0.000 μB per formula unit. The space group is P-3, No. 147. The energy relative to the elements comes out at -5.468 eV per formula unit.

abc: 4.284 11.526 11.526
angles: 120.00 90.00 90.00
Element x y z (fractional)
Sm 0.252 0.333 0.667
Sm 0.748 0.667 0.333
Mg 0.251 0.613 0.044
Mg 0.251 0.431 0.387
Mg 0.251 0.956 0.569
Mg 0.749 0.387 0.956
Mg 0.749 0.569 0.613
Mg 0.749 0.044 0.431
Mg 0.245 0.108 0.265
Mg 0.245 0.158 0.892
Mg 0.245 0.735 0.842
Mg 0.755 0.892 0.735
Mg 0.755 0.842 0.108
Mg 0.755 0.265 0.158
Hg 0.500 0.000 0.000
Hg 0.250 0.860 0.288
Hg 0.250 0.428 0.140
Hg 0.250 0.712 0.572
Hg 0.750 0.140 0.712
Hg 0.750 0.572 0.860
Hg 0.750 0.288 0.428


Compound: KSiRh3
Source: Alexandria via LeMat-Bulk
Functional: PBE
Structure: relaxed

The total magnetic moment is 1.082 μB per formula unit. The value obtained for the energy relative to the elements, uncorrected is 0.23 eV per atom. The space group is Pm-3m, No. 221. The polymorph energy (0 for the lowest one) is 0 meV per atom.

abc: 4.571 4.571 4.571
angles: 90.00 90.00 90.00
Each line ends with the local moment (μB).
Element x y z (fractional)
K 0.500 0.500 0.500  -0.01
Rh 0.000 0.500 0.000  0.40
Rh 0.000 0.000 0.500  0.48
Rh 0.500 0.000 0.000  0.26
Si 0.000 0.000 0.000  -0.02


Compound: CePu2N4
Source: Alexandria via LeMat-Bulk
Functional: PBE
Structure: relaxed

The total magnetic moment is 8.000 μB per formula unit. The value obtained for the energy relative to the elements, uncorrected is -1.11 eV per atom. The space group is I-42d, No. 122. The polymorph energy (0 for the lowest one) is 98 meV per atom.

abc: 6.282 6.282 6.282
angles: 109.02 110.38 109.02
Each line ends with the local moment (μB).
Element x y z (fractional)
Ce 0.000 0.000 0.000  0.34
Ce 0.750 0.500 0.250  0.34
Pu 0.875 0.129 0.504  4.25
Pu 0.496 0.371 0.625  4.25
Pu 0.375 0.871 0.746  4.25
Pu 0.254 0.629 0.125  4.25
N 0.139 0.879 0.385  -0.22
N 0.615 0.754 0.495  -0.22
N 0.009 0.621 0.755  -0.22
N 0.245 0.254 0.865  -0.22
N 0.611 0.746 0.991  -0.22
N 0.741 0.246 0.861  -0.22
N 0.505 0.121 0.259  -0.22
N 0.135 0.379 0.389  -0.22


Compound: LiCeIrPd
Source: Alexandria via LeMat-Bulk
Functional: PBE
Structure: relaxed

The total magnetic moment is 0.003 μB per formula unit. The space group is F-43m, No. 216. The energy relative to the elements comes out at -1.985 eV per formula unit.

abc: 4.686 4.686 4.686
angles: 60.00 60.00 60.00
Element x y z (fractional)
Ir 0.750 0.750 0.750
Pd 0.250 0.250 0.250
Ce 0.500 0.500 0.500
Li 0.000 0.000 0.000